DFT (PBE) results for Nd3Co3I after structural relaxation.

a b c (Å): 9.9531 9.9531 3.9747
angles (deg): 90.00 90.00 120.00
Space group P6_3/m (No. 176)
Inequivalent atoms, fractional coordinates:
Nd: 0.0649 0.3664 0.2500
Co: 0.0191 0.1518 0.7500
I: 0.3333 0.6667 0.7500

Output
- E_form (uncorrected) (eV/atom) = -0.2948
- magnetization (Bohr magnetons per cell) = 2.17
- theoretical density (kg/m³) = 7172